1.
# Rb3PtCl6 (PBE, optimized geometry)
# - spin magnetization (μB per atom) = 0.1015
data_Rb3PtCl6
_space_group_name_H-M_alt 'R -3'
_space_group_IT_number 148
_space_group_name_Hall '-R 3'
_cell_length_a 12.7299
_cell_length_b 12.7299
_cell_length_c 15.2441
_cell_angle_alpha 90.00
_cell_angle_beta 90.00
_cell_angle_gamma 120.00
loop_
_atom_site_label
_atom_site_fract_x
_atom_site_fract_y
_atom_site_fract_z
Rb1 0.0466 0.7764 0.2049
Pt1 0.0000 0.0000 0.0000
Pt2 0.0000 0.0000 0.5000
Cl1 0.0136 0.8493 0.4083
Cl2 0.0305 0.8590 0.9077

2.
# Rb3PtCl6 (PBE, optimized geometry)
# - spin magnetization (μB per atom) = 0.1000
data_Rb3PtCl6
_space_group_name_H-M_alt 'I 4/m m m'
_space_group_IT_number 139
_space_group_name_Hall '-I 4 2'
_cell_length_a 7.8816
_cell_length_b 7.8816
_cell_length_c 10.7868
_cell_angle_alpha 90.00
_cell_angle_beta 90.00
_cell_angle_gamma 90.00
loop_
_atom_site_label
_atom_site_fract_x
_atom_site_fract_y
_atom_site_fract_z
Rb1 0.0000 0.0000 0.0000
Rb2 0.0000 0.5000 0.2500
Pt1 0.0000 0.0000 0.5000
Cl1 0.0000 0.0000 0.2846
Cl2 0.2234 0.2234 0.5000

Of them, the most stable is 1 and the least stable is 2.

1.
# RbPtS2Cl (PBE, optimized geometry)
# - spin magnetization (μB per atom) = 0.7618
data_RbPtS2Cl
_space_group_name_H-M_alt 'P 4/m m m'
_space_group_IT_number 123
_space_group_name_Hall '-P 4 2'
_cell_length_a 5.5274
_cell_length_b 5.5274
_cell_length_c 5.6738
_cell_angle_alpha 90.00
_cell_angle_beta 90.00
_cell_angle_gamma 90.00
loop_
_atom_site_label
_atom_site_fract_x
_atom_site_fract_y
_atom_site_fract_z
Rb1 0.0000 0.0000 0.0000
Pt1 0.5000 0.5000 0.5000
S1 0.0000 0.5000 0.0000
Cl1 0.0000 0.0000 0.5000

2.
# RbPtS2Cl (PBE, optimized geometry)
# - spin magnetization (μB per atom) = 0.3148
data_RbPtS2Cl
_space_group_name_H-M_alt 'P 4/m m m'
_space_group_IT_number 123
_space_group_name_Hall '-P 4 2'
_cell_length_a 4.7524
_cell_length_b 4.7524
_cell_length_c 5.4416
_cell_angle_alpha 90.00
_cell_angle_beta 90.00
_cell_angle_gamma 90.00
loop_
_atom_site_label
_atom_site_fract_x
_atom_site_fract_y
_atom_site_fract_z
Rb1 0.0000 0.0000 0.0000
Pt1 0.5000 0.5000 0.5000
S1 0.0000 0.5000 0.5000
Cl1 0.5000 0.5000 0.0000

Of them, the most stable is 2 and the least stable is 1.

1.
# RePt3Cl (PBE, optimized geometry)
# - spin magnetization (μB per atom) = 0.0000
data_RePt3Cl
_space_group_name_H-M_alt 'P m -3 m'
_space_group_IT_number 221
_space_group_name_Hall '-P 4 2 3'
_cell_length_a 4.8579
_cell_length_b 4.8579
_cell_length_c 4.8579
_cell_angle_alpha 90.00
_cell_angle_beta 90.00
_cell_angle_gamma 90.00
loop_
_atom_site_label
_atom_site_fract_x
_atom_site_fract_y
_atom_site_fract_z
Re1 0.0000 0.0000 0.0000
Pt1 0.0000 0.0000 0.5000
Cl1 0.5000 0.5000 0.5000

2.
# RePt3Cl (PBE, optimized geometry)
# - spin magnetization (μB per atom) = 0.7624
data_RePt3Cl
_space_group_name_H-M_alt 'P m -3 m'
_space_group_IT_number 221
_space_group_name_Hall '-P 4 2 3'
_cell_length_a 4.5170
_cell_length_b 4.5170
_cell_length_c 4.5170
_cell_angle_alpha 90.00
_cell_angle_beta 90.00
_cell_angle_gamma 90.00
loop_
_atom_site_label
_atom_site_fract_x
_atom_site_fract_y
_atom_site_fract_z
Re1 0.0000 0.0000 0.0000
Pt1 0.0000 0.5000 0.5000
Cl1 0.5000 0.5000 0.5000

Of them, the most stable is 1 and the least stable is 2.

1.
# RePtCl (PBE, optimized geometry)
# - spin magnetization (μB per atom) = 0.0000
data_RePtCl
_space_group_name_H-M_alt 'P -6 m 2'
_space_group_IT_number 187
_space_group_name_Hall 'P -6 2'
_cell_length_a 4.3910
_cell_length_b 4.3910
_cell_length_c 2.7965
_cell_angle_alpha 90.00
_cell_angle_beta 90.00
_cell_angle_gamma 120.00
loop_
_atom_site_label
_atom_site_fract_x
_atom_site_fract_y
_atom_site_fract_z
Re1 0.0000 0.0000 0.0000
Pt1 0.3333 0.6667 0.5000
Cl1 0.6667 0.3333 0.0000

2.
# RePtCl (PBE, optimized geometry)
# - spin magnetization (μB per atom) = 1.0716
data_RePtCl
_space_group_name_H-M_alt 'F -4 3 m'
_space_group_IT_number 216
_space_group_name_Hall 'F -4 2 3'
_cell_length_a 6.2648
_cell_length_b 6.2648
_cell_length_c 6.2648
_cell_angle_alpha 90.00
_cell_angle_beta 90.00
_cell_angle_gamma 90.00
loop_
_atom_site_label
_atom_site_fract_x
_atom_site_fract_y
_atom_site_fract_z
Re1 0.0000 0.0000 0.0000
Pt1 0.2500 0.2500 0.7500
Cl1 0.0000 0.0000 0.5000

3.
# RePtCl (PBE, optimized geometry)
# - spin magnetization (μB per atom) = 0.0000
data_RePtCl
_space_group_name_H-M_alt 'F -4 3 m'
_space_group_IT_number 216
_space_group_name_Hall 'F -4 2 3'
_cell_length_a 6.0155
_cell_length_b 6.0155
_cell_length_c 6.0155
_cell_angle_alpha 90.00
_cell_angle_beta 90.00
_cell_angle_gamma 90.00
loop_
_atom_site_label
_atom_site_fract_x
_atom_site_fract_y
_atom_site_fract_z
Re1 0.0000 0.0000 0.0000
Pt1 0.2500 0.2500 0.7500
Cl1 0.2500 0.2500 0.2500

Of them, the most stable is 3 and the least stable is 2.

1.
# RePtCl (PBE, optimized geometry)
# - spin magnetization (μB per atom) = 0.0000
data_RePtCl
_space_group_name_H-M_alt 'P 3 m 1'
_space_group_IT_number 156
_space_group_name_Hall 'P 3 -2"'
_cell_length_a 2.9105
_cell_length_b 2.9105
_cell_length_c 6.6936
_cell_angle_alpha 90.00
_cell_angle_beta 90.00
_cell_angle_gamma 120.00
loop_
_atom_site_label
_atom_site_fract_x
_atom_site_fract_y
_atom_site_fract_z
Re1 0.0000 0.0000 0.0000
Pt1 0.3333 0.6667 0.6894
Cl1 0.6667 0.3333 0.2828

2.
# RePtCl (PBE, optimized geometry)
# - spin magnetization (μB per atom) = 0.0167
data_RePtCl
_space_group_name_H-M_alt 'F m m 2'
_space_group_IT_number 42
_space_group_name_Hall 'F 2 -2'
_cell_length_a 2.8219
_cell_length_b 5.0221
_cell_length_c 14.7842
_cell_angle_alpha 90.00
_cell_angle_beta 90.00
_cell_angle_gamma 90.00
loop_
_atom_site_label
_atom_site_fract_x
_atom_site_fract_y
_atom_site_fract_z
Re1 0.0000 0.0000 0.0000
Pt1 0.0000 0.0000 0.6540
Cl1 0.0000 0.0000 0.3674

3.
# RePtCl (PBE, optimized geometry)
# - spin magnetization (μB per atom) = 0.0000
data_RePtCl
_space_group_name_H-M_alt 'I 4 m m'
_space_group_IT_number 107
_space_group_name_Hall 'I 4 -2'
_cell_length_a 2.9245
_cell_length_b 2.9245
_cell_length_c 13.2009
_cell_angle_alpha 90.00
_cell_angle_beta 90.00
_cell_angle_gamma 90.00
loop_
_atom_site_label
_atom_site_fract_x
_atom_site_fract_y
_atom_site_fract_z
Re1 0.0000 0.0000 0.0000
Pt1 0.0000 0.0000 0.6214
Cl1 0.0000 0.0000 0.3718

Of them, the most stable is 1 and the least stable is 2.

1.
# RePt2Cl (PBE, optimized geometry)
# - spin magnetization (μB per atom) = 0.0023
data_RePt2Cl
_space_group_name_H-M_alt 'I m m m'
_space_group_IT_number 71
_space_group_name_Hall '-I 2 2'
_cell_length_a 2.7533
_cell_length_b 4.3776
_cell_length_c 11.3908
_cell_angle_alpha 90.00
_cell_angle_beta 90.00
_cell_angle_gamma 90.00
loop_
_atom_site_label
_atom_site_fract_x
_atom_site_fract_y
_atom_site_fract_z
Re1 0.0000 0.0000 0.0000
Pt1 0.0000 0.5000 0.2970
Cl1 0.0000 0.0000 0.5000

2.
# RePt2Cl (PBE, optimized geometry)
# - spin magnetization (μB per atom) = 0.0001
data_RePt2Cl
_space_group_name_H-M_alt 'C m m m'
_space_group_IT_number 65
_space_group_name_Hall '-C 2 2'
_cell_length_a 2.8067
_cell_length_b 4.9033
_cell_length_c 9.4410
_cell_angle_alpha 90.00
_cell_angle_beta 90.00
_cell_angle_gamma 90.00
loop_
_atom_site_label
_atom_site_fract_x
_atom_site_fract_y
_atom_site_fract_z
Re1 0.0000 0.0000 0.0000
Pt1 0.0000 0.5000 0.2418
Cl1 0.0000 0.0000 0.5000

3.
# RePt2Cl (PBE, optimized geometry)
# - spin magnetization (μB per atom) = 0.4645
data_RePt2Cl
_space_group_name_H-M_alt 'F m -3 m'
_space_group_IT_number 225
_space_group_name_Hall '-F 4 2 3'
_cell_length_a 6.4153
_cell_length_b 6.4153
_cell_length_c 6.4153
_cell_angle_alpha 90.00
_cell_angle_beta 90.00
_cell_angle_gamma 90.00
loop_
_atom_site_label
_atom_site_fract_x
_atom_site_fract_y
_atom_site_fract_z
Re1 0.0000 0.0000 0.0000
Pt1 0.2500 0.2500 0.2500
Cl1 0.0000 0.0000 0.5000

Of them, the most stable is 2 and the least stable is 3.

1.
# RePtS2Cl (PBE, optimized geometry)
# - spin magnetization (μB per atom) = 0.0002
data_RePtS2Cl
_space_group_name_H-M_alt 'P 4/m m m'
_space_group_IT_number 123
_space_group_name_Hall '-P 4 2'
_cell_length_a 4.5363
_cell_length_b 4.5363
_cell_length_c 4.9144
_cell_angle_alpha 90.00
_cell_angle_beta 90.00
_cell_angle_gamma 90.00
loop_
_atom_site_label
_atom_site_fract_x
_atom_site_fract_y
_atom_site_fract_z
Re1 0.0000 0.0000 0.0000
Pt1 0.5000 0.5000 0.5000
S1 0.0000 0.5000 0.0000
Cl1 0.0000 0.0000 0.5000

2.
# RePtS2Cl (PBE, optimized geometry)
# - spin magnetization (μB per atom) = 0.8945
data_RePtS2Cl
_space_group_name_H-M_alt 'P 4/m m m'
_space_group_IT_number 123
_space_group_name_Hall '-P 4 2'
_cell_length_a 4.7454
_cell_length_b 4.7454
_cell_length_c 4.7482
_cell_angle_alpha 90.00
_cell_angle_beta 90.00
_cell_angle_gamma 90.00
loop_
_atom_site_label
_atom_site_fract_x
_atom_site_fract_y
_atom_site_fract_z
Re1 0.0000 0.0000 0.0000
Pt1 0.5000 0.5000 0.5000
S1 0.0000 0.5000 0.5000
Cl1 0.5000 0.5000 0.0000

Of them, the most stable is 1 and the least stable is 2.

1.
# RePtSCl2 (PBE, optimized geometry)
# - spin magnetization (μB per atom) = 1.0131
data_RePtSCl2
_space_group_name_H-M_alt 'P 4/m m m'
_space_group_IT_number 123
_space_group_name_Hall '-P 4 2'
_cell_length_a 4.8143
_cell_length_b 4.8143
_cell_length_c 4.8458
_cell_angle_alpha 90.00
_cell_angle_beta 90.00
_cell_angle_gamma 90.00
loop_
_atom_site_label
_atom_site_fract_x
_atom_site_fract_y
_atom_site_fract_z
Re1 0.0000 0.0000 0.0000
Pt1 0.5000 0.5000 0.5000
S1 0.5000 0.5000 0.0000
Cl1 0.0000 0.5000 0.5000

2.
# RePtSCl2 (PBE, optimized geometry)
# - spin magnetization (μB per atom) = 0.1781
data_RePtSCl2
_space_group_name_H-M_alt 'P 4/m m m'
_space_group_IT_number 123
_space_group_name_Hall '-P 4 2'
_cell_length_a 4.8096
_cell_length_b 4.8096
_cell_length_c 4.5003
_cell_angle_alpha 90.00
_cell_angle_beta 90.00
_cell_angle_gamma 90.00
loop_
_atom_site_label
_atom_site_fract_x
_atom_site_fract_y
_atom_site_fract_z
Re1 0.0000 0.0000 0.0000
Pt1 0.5000 0.5000 0.5000
S1 0.0000 0.0000 0.5000
Cl1 0.0000 0.5000 0.0000

Of them, the most stable is 2 and the least stable is 1.

1.
# PtRhCl (PBE, optimized geometry)
# - spin magnetization (μB per atom) = 0.7314
data_PtRhCl
_space_group_name_H-M_alt 'F -4 3 m'
_space_group_IT_number 216
_space_group_name_Hall 'F -4 2 3'
_cell_length_a 6.1338
_cell_length_b 6.1338
_cell_length_c 6.1338
_cell_angle_alpha 90.00
_cell_angle_beta 90.00
_cell_angle_gamma 90.00
loop_
_atom_site_label
_atom_site_fract_x
_atom_site_fract_y
_atom_site_fract_z
Pt1 0.0000 0.0000 0.0000
Rh1 0.2500 0.2500 0.7500
Cl1 0.0000 0.0000 0.5000

2.
# PtRhCl (PBE, optimized geometry)
# - spin magnetization (μB per atom) = 0.7910
data_PtRhCl
_space_group_name_H-M_alt 'I 4 m m'
_space_group_IT_number 107
_space_group_name_Hall 'I 4 -2'
_cell_length_a 2.9542
_cell_length_b 2.9542
_cell_length_c 11.7037
_cell_angle_alpha 90.00
_cell_angle_beta 90.00
_cell_angle_gamma 90.00
loop_
_atom_site_label
_atom_site_fract_x
_atom_site_fract_y
_atom_site_fract_z
Pt1 0.0000 0.0000 0.0000
Rh1 0.0000 0.0000 0.3529
Cl1 0.0000 0.0000 0.7026

3.
# PtRhCl (PBE, optimized geometry)
# - spin magnetization (μB per atom) = 0.0000
data_PtRhCl
_space_group_name_H-M_alt 'P 3 m 1'
_space_group_IT_number 156
_space_group_name_Hall 'P 3 -2"'
_cell_length_a 3.4859
_cell_length_b 3.4859
_cell_length_c 5.3739
_cell_angle_alpha 90.00
_cell_angle_beta 90.00
_cell_angle_gamma 120.00
loop_
_atom_site_label
_atom_site_fract_x
_atom_site_fract_y
_atom_site_fract_z
Pt1 0.0000 0.0000 0.0000
Rh1 0.6667 0.3333 0.2892
Cl1 0.3333 0.6667 0.5337

4.
# PtRhCl (PBE, optimized geometry)
# - spin magnetization (μB per atom) = 0.4990
data_PtRhCl
_space_group_name_H-M_alt 'F -4 3 m'
_space_group_IT_number 216
_space_group_name_Hall 'F -4 2 3'
_cell_length_a 5.9459
_cell_length_b 5.9459
_cell_length_c 5.9459
_cell_angle_alpha 90.00
_cell_angle_beta 90.00
_cell_angle_gamma 90.00
loop_
_atom_site_label
_atom_site_fract_x
_atom_site_fract_y
_atom_site_fract_z
Pt1 0.0000 0.0000 0.0000
Rh1 0.0000 0.0000 0.5000
Cl1 0.2500 0.2500 0.7500

Of them, the most stable is 3 and the least stable is 4.

1.
# PtRhSCl2 (PBE, optimized geometry)
# - spin magnetization (μB per atom) = 0.2369
data_PtRhSCl2
_space_group_name_H-M_alt 'P 4/m m m'
_space_group_IT_number 123
_space_group_name_Hall '-P 4 2'
_cell_length_a 4.7491
_cell_length_b 4.7491
_cell_length_c 4.5782
_cell_angle_alpha 90.00
_cell_angle_beta 90.00
_cell_angle_gamma 90.00
loop_
_atom_site_label
_atom_site_fract_x
_atom_site_fract_y
_atom_site_fract_z
Pt1 0.0000 0.0000 0.0000
Rh1 0.5000 0.5000 0.5000
S1 0.5000 0.5000 0.0000
Cl1 0.0000 0.5000 0.5000

2.
# PtRhSCl2 (PBE, optimized geometry)
# - spin magnetization (μB per atom) = 0.4605
data_PtRhSCl2
_space_group_name_H-M_alt 'P 4/m m m'
_space_group_IT_number 123
_space_group_name_Hall '-P 4 2'
_cell_length_a 4.8712
_cell_length_b 4.8712
_cell_length_c 4.6627
_cell_angle_alpha 90.00
_cell_angle_beta 90.00
_cell_angle_gamma 90.00
loop_
_atom_site_label
_atom_site_fract_x
_atom_site_fract_y
_atom_site_fract_z
Pt1 0.0000 0.0000 0.0000
Rh1 0.5000 0.5000 0.5000
S1 0.0000 0.0000 0.5000
Cl1 0.0000 0.5000 0.0000

Of them, the most stable is 1 and the least stable is 2.

1.
# PtRhS2Cl (PBE, optimized geometry)
# - spin magnetization (μB per atom) = 0.0000
data_PtRhS2Cl
_space_group_name_H-M_alt 'P 4/m m m'
_space_group_IT_number 123
_space_group_name_Hall '-P 4 2'
_cell_length_a 4.6262
_cell_length_b 4.6262
_cell_length_c 4.6216
_cell_angle_alpha 90.00
_cell_angle_beta 90.00
_cell_angle_gamma 90.00
loop_
_atom_site_label
_atom_site_fract_x
_atom_site_fract_y
_atom_site_fract_z
Pt1 0.0000 0.0000 0.0000
Rh1 0.5000 0.5000 0.5000
S1 0.0000 0.5000 0.5000
Cl1 0.5000 0.5000 0.0000

2.
# PtRhS2Cl (PBE, optimized geometry)
# - spin magnetization (μB per atom) = 0.5725
data_PtRhS2Cl
_space_group_name_H-M_alt 'P 4/m m m'
_space_group_IT_number 123
_space_group_name_Hall '-P 4 2'
_cell_length_a 4.6840
_cell_length_b 4.6840
_cell_length_c 4.8458
_cell_angle_alpha 90.00
_cell_angle_beta 90.00
_cell_angle_gamma 90.00
loop_
_atom_site_label
_atom_site_fract_x
_atom_site_fract_y
_atom_site_fract_z
Pt1 0.0000 0.0000 0.0000
Rh1 0.5000 0.5000 0.5000
S1 0.0000 0.5000 0.0000
Cl1 0.0000 0.0000 0.5000

Of them, the most stable is 1 and the least stable is 2.

1.
# Ru3PtCl (PBE, optimized geometry)
# - spin magnetization (μB per atom) = 1.5185
data_Ru3PtCl
_space_group_name_H-M_alt 'P m -3 m'
_space_group_IT_number 221
_space_group_name_Hall '-P 4 2 3'
_cell_length_a 4.9073
_cell_length_b 4.9073
_cell_length_c 4.9073
_cell_angle_alpha 90.00
_cell_angle_beta 90.00
_cell_angle_gamma 90.00
loop_
_atom_site_label
_atom_site_fract_x
_atom_site_fract_y
_atom_site_fract_z
Ru1 0.0000 0.0000 0.5000
Pt1 0.0000 0.0000 0.0000
Cl1 0.5000 0.5000 0.5000

2.
# Ru3PtCl (PBE, optimized geometry)
# - spin magnetization (μB per atom) = 0.5170
data_Ru3PtCl
_space_group_name_H-M_alt 'P m -3 m'
_space_group_IT_number 221
_space_group_name_Hall '-P 4 2 3'
_cell_length_a 4.3226
_cell_length_b 4.3226
_cell_length_c 4.3226
_cell_angle_alpha 90.00
_cell_angle_beta 90.00
_cell_angle_gamma 90.00
loop_
_atom_site_label
_atom_site_fract_x
_atom_site_fract_y
_atom_site_fract_z
Ru1 0.0000 0.0000 0.5000
Pt1 0.5000 0.5000 0.5000
Cl1 0.0000 0.0000 0.0000

Of them, the most stable is 2 and the least stable is 1.